## Cs3BiN (PBE-GGA)

Data for a relaxed structure of Cs3BiN.

- Raw total energy: -12.915 eV for the cell shown
- V: 228.7 Å³ per cell

Cell and atoms, written as POSCAR:
```
Cs3BiN
1.0
6.1151 0.0000 0.0000
0.0000 6.1151 0.0000
0.0000 0.0000 6.1151
Cs Bi N
3 1 1
Cartesian
0.0000 3.0575 0.0000
0.0000 0.0000 3.0575
3.0575 0.0000 0.0000
3.0575 3.0575 3.0575
0.0000 0.0000 0.0000
```